[1]
First-principles (PBE) data for an optimized crystal structure of RbNa2Tl2Hg2, as listed in the Alexandria database.

Cell and atoms, written as POSCAR:
```
RbNa2Tl2Hg2
1.0
-0.673 2.155 -4.749
-4.616 2.176 -1.270
1.357 10.094 1.477
Na Hg Tl Rb
2 2 2 1
Cartesian
-3.989 7.935 -4.567
0.057 6.490 0.026
-1.443 8.663 -1.687
-2.489 5.763 -2.855
-1.005 3.546 -1.160
-2.928 10.879 -3.382
0.000 0.000 0.000
```

Summary:
Its formation energy is -13.5 kJ/mol of atoms. Its crystal system is trigonal. The calculation puts the calculated total energy at -1.42 eV/atom. The space group is R-3m (166).

=====

[2]
First-principles (PBE) data for an optimized crystal structure of RbNa2TlHg4, as listed in the Alexandria database.

Cell and atoms, written as POSCAR:
```
RbNa2TlHg4
1.0
5.284 0.000 0.000
2.642 4.576 0.000
2.642 1.525 10.606
Hg Rb Tl Na
4 1 1 2
Cartesian
2.642 1.525 6.687
5.284 3.051 8.609
7.926 4.576 3.919
5.284 3.051 1.997
0.000 0.000 0.000
5.284 3.051 5.303
7.926 4.576 7.248
2.642 1.525 3.358
```

Summary:
Its formation energy is -17.6 kJ/mol of atoms. Its crystal system is trigonal. The calculation puts the calculated total energy at -1.08 eV/atom. The space group is R-3m (166).

=====

[3]
First-principles (PBE) data for an optimized crystal structure of Rb2Na2Tl5Hg2, as listed in the Alexandria database.

Cell and atoms, written as POSCAR:
```
Rb2Na2Tl5Hg2
1.0
5.738 0.000 0.000
0.000 5.738 0.000
-2.869 -2.869 16.405
Na Hg Tl Rb
2 2 5 2
Cartesian
0.000 0.000 10.938
2.869 2.869 5.467
0.000 0.000 2.939
2.869 2.869 13.466
0.000 2.869 3.928
0.000 2.869 12.477
2.869 0.000 3.928
2.869 0.000 12.477
0.000 0.000 0.000
0.000 0.000 6.665
2.869 2.869 9.740
```

Summary:
Its formation energy is 12.9 kJ/mol of atoms. Its crystal system is tetragonal. The calculation puts the calculated total energy at -1.41 eV/atom. The space group is I4/mmm (139).

=====

[4]
First-principles (PBE) data for an optimized crystal structure of RbNa3TlHg, as listed in the Alexandria database.

Cell and atoms, written as POSCAR:
```
RbNa3TlHg
1.0
6.966 0.000 0.000
0.000 8.500 0.000
0.000 -4.250 7.934
Na Hg Tl Rb
6 2 2 2
Cartesian
0.000 2.578 0.000
3.483 2.578 0.000
5.225 4.250 5.537
1.742 0.000 2.397
3.483 5.922 0.000
0.000 5.922 0.000
1.742 0.000 5.669
5.225 4.250 2.265
1.742 4.250 7.128
5.225 0.000 0.806
1.742 4.250 3.514
5.225 0.000 4.420
```

Summary:
Its formation energy is -5.7 kJ/mol of atoms. Its crystal system is orthorhombic. The calculation puts the calculated total energy at -1.32 eV/atom. The space group is Cmcm (63).

=====

[5]
First-principles (PBE) data for an optimized crystal structure of Rb2Na6TlHg, as listed in the Alexandria database.

Cell and atoms, written as POSCAR:
```
Rb2Na6TlHg
1.0
-1.370 -7.519 4.011
5.738 2.190 6.064
-2.271 -0.099 8.326
Na Rb Tl Hg
6 2 1 1
Cartesian
3.981 -0.210 5.557
-0.068 -1.367 6.700
0.388 -5.119 4.519
1.080 -1.318 2.491
2.165 -4.060 11.702
3.288 -4.011 7.584
2.826 -0.287 9.714
-0.728 -5.141 8.688
2.184 -2.664 5.038
0.000 0.000 0.000
```

Summary:
Its formation energy is -3.0 kJ/mol of atoms. Its crystal system is cubic. The calculation puts the calculated total energy at -1.28 eV/atom. The space group is Fm-3m (225).

=====

[6]
First-principles (PBE) data for an optimized crystal structure of Rb2Na5Tl2Hg, as listed in the Alexandria database.

Cell and atoms, written as POSCAR:
```
Rb2Na5Tl2Hg
1.0
4.474 0.000 0.000
0.000 13.049 0.000
0.000 0.000 13.049
Na Rb Tl Hg
10 4 4 2
Cartesian
2.237 6.525 0.000
2.237 8.975 5.764
2.237 10.599 12.289
2.237 0.000 6.525
2.237 12.289 2.450
2.237 5.764 4.074
2.237 4.074 7.286
2.237 0.761 10.599
2.237 2.450 0.761
2.237 7.286 8.975
0.000 10.772 8.802
0.000 8.802 2.278
0.000 4.247 10.772
0.000 2.278 4.247
0.000 4.901 1.624
0.000 1.624 8.149
0.000 8.149 11.426
0.000 11.426 4.901
0.000 0.000 0.000
0.000 6.525 6.525
```

Summary:
Its formation energy is -7.1 kJ/mol of atoms. Its crystal system is tetragonal. The calculation puts the calculated total energy at -1.43 eV/atom. The space group is P4/mbm (127).